Arrangement a

Compound: LiMnP4O12
Source: Alexandria
Functional: GGA+U
Structure: optimized geometry

Cell lengths 5.2817, 6.9860, 8.7924 Å; angles 117.49, 99.44, 108.73 degrees
With the nearest neighbours (Å) after each atom.
Positions (direct):
O  0.4284  0.2452  0.7258  2 P 1.61
O  0.2486  0.9868  0.8483  1 P 1.54
O  0.5839  0.7725  0.2681  2 P 1.60-1.61
O  0.7434  0.0837  0.8242  1 P 1.49
O  0.7678  0.5791  0.4071  1 P 1.47
O  0.7584  0.6587  0.8105  1 P 1.54
O  0.2621  0.9272  0.1642  1 P 1.49
O  0.7546  0.0233  0.1372  1 P 1.52
O  0.2212  0.4434  0.5947  1 P 1.48
O  0.3458  0.5928  0.9306  2 P 1.61
O  0.6683  0.4180  0.0666  2 P 1.60-1.63
O  0.2439  0.3534  0.1694  1 P 1.52
Mn  0.0051  0.0094  0.9987  4 O 1.93-1.98
P  0.4389  0.4928  0.7542  4 O 1.48-1.61
P  0.5267  0.1720  0.8662  4 O 1.49-1.61
P  0.4860  0.8453  0.1286  4 O 1.49-1.61
P  0.5628  0.5217  0.2395  4 O 1.47-1.63
Li  0.9884  0.6156  0.6153  2 O 1.86-1.95

## Properties
The crystal system is triclinic. Its calculated density is 2.5 g cm⁻³. Its magnetic moment is 4.0 μB per cell. Its space group is P1, No. 1.

=====

Arrangement b

Compound: LiMnP4O12
Source: Alexandria
Functional: GGA+U
Structure: optimized geometry

Cell lengths 9.0385, 9.0385, 9.9339 Å; angles 55.30, 55.30, 53.91 degrees
With the nearest neighbours (Å) after each atom.
Positions (direct):
O  0.1885  0.8913  0.0751  1 P 1.55
O  0.3753  0.4663  0.2160  1 P 1.54
O  0.4594  0.2198  0.1099  2 P 1.62-1.63
O  0.5645  0.2126  0.5137  1 P 1.47
O  0.6247  0.5337  0.7840  1 P 1.54
O  0.1087  0.8115  0.4249  1 P 1.55
O  0.7246  0.0477  0.2459  1 P 1.47
O  0.0477  0.7246  0.7459  1 P 1.47
O  0.3325  0.1348  0.8367  2 P 1.61
O  0.2754  0.9523  0.7541  1 P 1.47
O  0.7802  0.5406  0.3901  2 P 1.62-1.63
O  0.5406  0.7802  0.8901  2 P 1.62-1.63
O  0.8913  0.1885  0.5751  1 P 1.55
O  0.4663  0.3753  0.7160  1 P 1.54
O  0.9523  0.2754  0.2541  1 P 1.47
O  0.7874  0.4355  0.9863  1 P 1.47
O  0.1348  0.3325  0.3367  2 P 1.61
O  0.8115  0.1087  0.9249  1 P 1.55
O  0.5337  0.6247  0.2840  1 P 1.54
O  0.2126  0.5645  0.0137  1 P 1.47
O  0.4355  0.7874  0.4863  1 P 1.47
O  0.2198  0.4594  0.6099  2 P 1.62-1.63
O  0.6675  0.8652  0.1633  2 P 1.61
O  0.8652  0.6675  0.6633  2 P 1.61
P  0.9390  0.3231  0.3806  4 O 1.47-1.63
P  0.7091  0.5840  0.8433  4 O 1.47-1.62
P  0.5840  0.7091  0.3433  4 O 1.47-1.62
P  0.4160  0.2909  0.6567  4 O 1.47-1.62
P  0.6769  0.0610  0.1194  4 O 1.47-1.63
P  0.0610  0.6769  0.6194  4 O 1.47-1.63
P  0.2909  0.4160  0.1567  4 O 1.47-1.62
P  0.3231  0.9390  0.8806  4 O 1.47-1.63
Mn  0.3047  0.6953  0.2500  4 O 1.91-1.95
Mn  0.6953  0.3047  0.7500  4 O 1.91-1.95
Li  0.2469  0.7531  0.7500  4 O 1.99-2.12
Li  0.7531  0.2469  0.2500  4 O 1.99-2.12

## Properties
The crystal system is monoclinic. Its calculated density is 2.5 g cm⁻³. Its magnetic moment is 7.7 μB per cell. Its space group is C2/c, No. 15.

=====

Q: What are the energies relative to the best structure? A: arrangement a 0; arrangement b 73, in meV per atom.

=====

Arrangement a

Compound: Li8TiMn3P6O24
Source: Alexandria
Functional: GGA+U
Structure: optimized geometry

Cell lengths 9.2613, 9.2613, 9.2613 Å; angles 55.13, 55.13, 55.13 degrees
With the nearest neighbours (Å) after each atom.
Positions (direct):
Li  0.6474  0.9191  0.2816  4 O 1.99-2.11
Li  0.2816  0.6474  0.9191  4 O 1.99-2.11
Li  0.7740  0.4201  0.1432  3 O 1.94-1.96
Li  0.1432  0.7740  0.4201  3 O 1.94-1.96
Li  0.4201  0.1432  0.7740  3 O 1.94-1.96
Li  0.9191  0.2816  0.6474  4 O 1.99-2.11
Li  0.5502  0.5502  0.5502  3 O 1.97
Li  0.0419  0.0419  0.0419  3 O 1.98
O  0.5466  0.1785  0.5078  1 P 1.54
O  0.1394  0.5395  0.1930  1 P 1.54
O  0.8408  0.7539  0.1113  1 P 1.59
O  0.4335  0.7707  0.8739  1 P 1.54
O  0.4499  0.8126  0.5278  1 P 1.55
O  0.2028  0.9557  0.4045  1 P 1.53
O  0.5967  0.8377  0.9616  1 P 1.58
O  0.8377  0.9616  0.5967  1 P 1.58
O  0.5395  0.1930  0.1394  1 P 1.54
O  0.9557  0.4045  0.2028  1 P 1.53
O  0.1438  0.2479  0.8745  1 P 1.55
O  0.1113  0.8408  0.7539  1 P 1.59
O  0.4045  0.2028  0.9557  1 P 1.53
O  0.8126  0.5278  0.4499  1 P 1.55
O  0.5078  0.5466  0.1785  1 P 1.54
O  0.7539  0.1113  0.8408  1 P 1.59
O  0.2479  0.8745  0.1438  1 P 1.55
O  0.5278  0.4499  0.8126  1 P 1.55
O  0.1785  0.5078  0.5466  1 P 1.54
O  0.8739  0.4335  0.7707  1 P 1.54
O  0.9616  0.5967  0.8377  1 P 1.58
O  0.7707  0.8739  0.4335  1 P 1.54
O  0.8745  0.1438  0.2479  1 P 1.55
O  0.1930  0.1394  0.5395  1 P 1.54
P  0.2401  0.9440  0.5526  4 O 1.53-1.59
P  0.5526  0.2401  0.9440  4 O 1.53-1.59
P  0.0430  0.4461  0.7526  4 O 1.54-1.58
P  0.9440  0.5526  0.2401  4 O 1.53-1.59
P  0.7526  0.0430  0.4461  4 O 1.54-1.58
P  0.4461  0.7526  0.0430  4 O 1.54-1.58
Mn  0.1571  0.1571  0.1571  6 O 2.06-2.30
Mn  0.6631  0.6631  0.6631  6 O 2.09-2.26
Mn  0.3478  0.3478  0.3478  6 O 2.28-2.29
Ti  0.8476  0.8476  0.8476  6 O 1.96-2.05

## Properties
The crystal system is trigonal. Its calculated density is 2.8 g cm⁻³. Its magnetic moment is 15.0 μB per cell. Its space group is R3, No. 146.

=====

Arrangement b

Compound: Li8TiMn3P6O24
Source: Alexandria
Functional: GGA+U
Structure: optimized geometry

Cell lengths 9.3495, 8.4546, 8.4948 Å; angles 60.50, 62.13, 89.43 degrees
With the nearest neighbours (Å) after each atom.
Positions (direct):
O  0.1643  0.5256  0.0030  1 P 1.60
O  0.5964  0.1561  0.4175  1 P 1.55
O  0.7980  0.4907  0.6662  1 P 1.53
O  0.8004  0.4534  0.0449  1 P 1.54
O  0.2859  0.2593  0.5485  1 P 1.56
O  0.5654  0.9668  0.8360  1 P 1.54
O  0.8792  0.1518  0.6376  1 P 1.61
O  0.7451  0.8497  0.9969  1 P 1.54
O  0.1549  0.4771  0.3586  1 P 1.59
O  0.1238  0.8601  0.3491  1 P 1.56
O  0.7465  0.7535  0.3950  1 P 1.55
O  0.7959  0.8442  0.6737  1 P 1.55
O  0.2649  0.8608  0.8974  1 P 1.54
O  0.9135  0.2065  0.2465  1 P 1.60
O  0.2708  0.1645  0.9941  1 P 1.54
O  0.1018  0.4289  0.7005  1 P 1.55
O  0.4141  0.0496  0.2134  1 P 1.54
O  0.8748  0.5091  0.3279  1 P 1.63
O  0.5684  0.4193  0.6028  1 P 1.51
O  0.7604  0.1257  0.1066  1 P 1.54
O  0.3889  0.6270  0.3423  1 P 1.52
O  0.0910  0.7936  0.7704  1 P 1.56
O  0.1696  0.1739  0.3229  1 P 1.59
O  0.3978  0.7703  0.6273  1 P 1.53
Li  0.4287  0.2002  0.3280  3 O 1.98-2.03
Li  0.1469  0.3410  0.9279  3 O 1.91-1.99
Li  0.0929  0.0599  0.6342  4 O 1.96-2.13
Li  0.5849  0.8668  0.6346  4 O 1.98-2.19
Li  0.8533  0.2649  0.8070  3 O 1.90-2.02
Li  0.9140  0.9283  0.3546  4 O 1.95-2.10
Li  0.3038  0.7727  0.1333  3 O 1.98-2.17
Li  0.8568  0.6580  0.0694  4 O 1.92-2.13
Mn  0.9568  0.6473  0.6939  6 O 2.16-2.27
Mn  0.5610  0.8449  0.2905  6 O 2.19-2.29
Mn  0.4351  0.1588  0.7127  6 O 2.05-2.29
P  0.2342  0.7456  0.8163  4 O 1.53-1.60
P  0.7393  0.5406  0.5105  4 O 1.51-1.63
P  0.2491  0.0600  0.2156  4 O 1.54-1.59
P  0.7420  0.9482  0.7914  4 O 1.54-1.61
P  0.7644  0.2401  0.2004  4 O 1.54-1.60
P  0.2399  0.4498  0.4910  4 O 1.52-1.59
Ti  0.0249  0.3550  0.3094  6 O 1.91-2.09

## Properties
The crystal system is triclinic. Its calculated density is 2.8 g cm⁻³. Its magnetic moment is 15.0 μB per cell. Its space group is P1, No. 1.

=====

Q: What are the energies relative to the best structure? A: arrangement a 11; arrangement b 0, in meV per atom.

=====

Arrangement a

Compound: RbLiMn3O4
Source: Alexandria
Functional: GGA+U
Structure: optimized geometry

Cell lengths 6.2616, 6.2616, 8.3853 Å; angles 48.60, 48.60, 33.35 degrees
With the nearest neighbours (Å) after each atom.
Positions (direct):
O  0.3915  0.3915  0.8141  2 Li 2.02, 2 Mn 2.03-2.09
O  0.7584  0.7584  0.6382  1 Li 1.99, 3 Mn 2.08-2.18
O  0.2359  0.2359  0.3680  4 Mn 2.09-2.27
O  0.5984  0.5984  0.1884  3 Mn 2.07-2.09
Mn  0.6232  0.6232  0.5522  4 O 2.03-2.18
Mn  0.2020  0.2020  0.1546  4 O 2.09
Mn  0.3659  0.3659  0.4743  4 O 2.07-2.27
Rb  0.0078  0.0078  0.0007  8 O 2.98-3.26
Li  0.8170  0.8170  0.8095  3 O 1.99-2.02

## Properties
The crystal system is monoclinic. Its calculated density is 4.1 g cm⁻³. Its magnetic moment is 15.0 μB per cell. Its space group is Cm, No. 8.

=====

Arrangement b

Compound: RbLiMn3O4
Source: Alexandria
Functional: GGA+U
Structure: optimized geometry

Cell lengths 6.2494, 8.0444, 8.0506 Å; angles 97.38, 100.89, 101.10 degrees
With the nearest neighbours (Å) after each atom.
Positions (direct):
Li  0.4356  0.1493  0.3252  4 O 2.01-2.16
Li  0.5617  0.8465  0.6751  4 O 2.03-2.15
Li  0.8176  0.5837  0.0318  4 O 1.98-2.17
Rb  0.9983  0.3307  0.3323  8 O 3.01-3.11, 1 Li 3.34
Rb  0.0029  0.9923  0.0011  8 O 2.91-3.16
Rb  0.9977  0.6722  0.6724  8 O 2.97-3.14, 1 Li 3.30
Mn  0.4609  0.8128  0.9985  4 O 1.99-2.19
Mn  0.5505  0.5111  0.3314  4 O 2.04-2.09
Mn  0.4572  0.4895  0.6746  4 O 2.02-2.15
Mn  0.7944  0.2382  0.6899  4 O 2.06-2.25
Mn  0.5516  0.1825  0.9988  4 O 2.05-2.14
Mn  0.1772  0.4296  0.9734  4 O 2.06-2.12
Mn  0.7999  0.9081  0.3611  4 O 2.06-2.23
Mn  0.1983  0.7565  0.3085  4 O 2.06-2.21
Mn  0.1935  0.0857  0.6350  4 O 2.05-2.20
O  0.1621  0.0077  0.3763  1 Li 2.01, 3 Mn 2.06-2.23
O  0.3714  0.3153  0.1403  3 Mn 2.04-2.08, 1 Li 2.16
O  0.1609  0.3406  0.7108  4 Mn 2.09-2.25
O  0.8387  0.6566  0.2896  1 Li 2.06, 3 Mn 2.06-2.21
O  0.8306  0.3302  0.9497  3 Mn 2.05-2.12, 1 Li 2.08
O  0.6123  0.3524  0.5136  1 Li 2.06, 3 Mn 2.07-2.09
O  0.6333  0.6858  0.8630  2 Li 1.98-2.15, 2 Mn 1.99-2.02
O  0.3891  0.6482  0.4835  1 Li 2.04, 3 Mn 2.06-2.15
O  0.6157  0.0225  0.1876  1 Li 2.04, 3 Mn 2.06-2.14
O  0.8356  0.9919  0.6221  1 Li 2.03, 3 Mn 2.06-2.20
O  0.3828  0.9765  0.8089  1 Li 2.03, 3 Mn 2.05-2.19
O  0.1703  0.6835  0.0453  3 Mn 2.04-2.09, 1 Li 2.17

## Properties
The crystal system is triclinic. Its calculated density is 4.2 g cm⁻³. Its magnetic moment is 17.0 μB per cell. Its space group is P1, No. 1.

=====

Q: What are the energies relative to the best structure? A: arrangement a 0; arrangement b 151, in meV per atom.

=====

Arrangement a

Compound: Li2Mn2S3O12
Source: Alexandria
Functional: GGA+U
Structure: optimized geometry

Cell lengths 8.7835, 9.0080, 12.6898 Å; angles 90.00, 90.00, 90.00 degrees
With the nearest neighbours (Å) after each atom.
Positions (direct):
Mn  0.2538  0.9543  0.1083  6 O 2.12-2.30
Mn  0.7462  0.4543  0.1083  6 O 2.12-2.30
Mn  0.2538  0.5457  0.8917  6 O 2.12-2.30
Mn  0.7462  0.0457  0.8917  6 O 2.12-2.30
Mn  0.2462  0.0457  0.6083  6 O 2.12-2.30
Mn  0.2462  0.4543  0.3917  6 O 2.12-2.30
Mn  0.7538  0.5457  0.6083  6 O 2.12-2.30
Mn  0.7538  0.9543  0.3917  6 O 2.12-2.30
O  0.3278  0.2525  0.6848  1 S 1.50
O  0.8278  0.2475  0.1848  1 S 1.50
O  0.8542  0.4296  0.9594  1 S 1.47
O  0.8444  0.1735  0.4221  1 S 1.50
O  0.8444  0.3265  0.5779  1 S 1.50
O  0.4620  0.8591  0.0579  1 S 1.47
O  0.5380  0.1409  0.9421  1 S 1.47
O  0.9369  0.8904  0.8376  1 S 1.49
O  0.3444  0.1735  0.0779  1 S 1.50
O  0.3278  0.2475  0.3152  1 S 1.50
O  0.4369  0.8904  0.6624  1 S 1.49
O  0.1556  0.8265  0.5779  1 S 1.50
O  0.1722  0.7475  0.1848  1 S 1.50
O  0.4369  0.6096  0.3376  1 S 1.49
O  0.6458  0.5704  0.4594  1 S 1.47
O  0.8278  0.2525  0.8152  1 S 1.50
O  0.5631  0.1096  0.3376  1 S 1.49
O  0.0631  0.1096  0.1624  1 S 1.49
O  0.3444  0.3265  0.9221  1 S 1.50
O  0.9620  0.8591  0.4421  1 S 1.47
O  0.1458  0.5704  0.0406  1 S 1.47
O  0.1722  0.7525  0.8152  1 S 1.50
O  0.1666  0.0186  0.7800  1 S 1.50
O  0.6722  0.7525  0.6848  1 S 1.50
O  0.6666  0.0186  0.7200  1 S 1.50
O  0.3334  0.9814  0.2800  1 S 1.50
O  0.6556  0.6735  0.0779  1 S 1.50
O  0.8334  0.9814  0.2200  1 S 1.50
O  0.5380  0.3591  0.0579  1 S 1.47
O  0.6556  0.8265  0.9221  1 S 1.50
O  0.1666  0.4814  0.2200  1 S 1.50
O  0.8542  0.0704  0.0406  1 S 1.47
O  0.5631  0.3904  0.6624  1 S 1.49
O  0.3542  0.4296  0.5406  1 S 1.47
O  0.3542  0.0704  0.4594  1 S 1.47
O  0.1556  0.6735  0.4221  1 S 1.50
O  0.6722  0.7475  0.3152  1 S 1.50
O  0.6458  0.9296  0.5406  1 S 1.47
O  0.6666  0.4814  0.2800  1 S 1.50
O  0.0380  0.3591  0.4421  1 S 1.47
O  0.0380  0.1409  0.5579  1 S 1.47
O  0.9369  0.6096  0.1624  1 S 1.49
O  0.4620  0.6409  0.9421  1 S 1.47
O  0.8334  0.5186  0.7800  1 S 1.50
O  0.3334  0.5186  0.7200  1 S 1.50
O  0.0631  0.3904  0.8376  1 S 1.49
O  0.1458  0.9296  0.9594  1 S 1.47
O  0.9620  0.6409  0.5579  1 S 1.47
S  0.1059  0.8981  0.8494  4 O 1.47-1.50
S  0.8941  0.1019  0.1506  4 O 1.47-1.50
S  0.1059  0.6019  0.1506  4 O 1.47-1.50
S  0.9462  0.2500  0.5000  4 O 1.47-1.50
S  0.4462  0.2500  0.0000  4 O 1.47-1.50
S  0.8941  0.3981  0.8494  4 O 1.47-1.50
S  0.6059  0.6019  0.3494  4 O 1.47-1.50
S  0.5538  0.7500  0.0000  4 O 1.47-1.50
S  0.3941  0.3981  0.6506  4 O 1.47-1.50
S  0.0538  0.7500  0.5000  4 O 1.47-1.50
S  0.6059  0.8981  0.6506  4 O 1.47-1.50
S  0.3941  0.1019  0.3494  4 O 1.47-1.50
Li  0.2118  0.2254  0.8186  4 O 1.97-1.99
Li  0.2882  0.7746  0.3186  4 O 1.97-1.99
Li  0.7882  0.7746  0.1814  4 O 1.97-1.99
Li  0.7118  0.2254  0.6814  4 O 1.97-1.99
Li  0.2118  0.2746  0.1814  4 O 1.97-1.99
Li  0.2882  0.7254  0.6814  4 O 1.97-1.99
Li  0.7882  0.7254  0.8186  4 O 1.97-1.99
Li  0.7118  0.2746  0.3186  4 O 1.97-1.99

## Properties
The crystal system is orthorhombic. Its calculated density is 2.7 g cm⁻³. Its magnetic moment is 40.0 μB per cell. Its space group is Pbcn, No. 60.

=====

Arrangement b

Compound: Li2Mn2S3O12
Source: Alexandria
Functional: GGA+U
Structure: optimized geometry

Cell lengths 8.0658, 8.0658, 8.9006 Å; angles 68.24, 68.24, 67.02 degrees
With the nearest neighbours (Å) after each atom.
Positions (direct):
O  0.4920  0.1245  0.0764  1 S 1.48
O  0.0523  0.1177  0.1146  1 S 1.50
O  0.1288  0.4568  0.8616  1 S 1.52
O  0.8823  0.9477  0.3854  1 S 1.50
O  0.9017  0.2168  0.8194  1 S 1.47
O  0.7832  0.0983  0.6806  1 S 1.47
O  0.6553  0.4048  0.3792  1 S 1.46
O  0.6230  0.7385  0.3039  1 S 1.49
O  0.9477  0.8823  0.8854  1 S 1.50
O  0.2615  0.3770  0.1961  1 S 1.49
O  0.7385  0.6230  0.8039  1 S 1.49
O  0.8755  0.5080  0.4236  1 S 1.48
O  0.4568  0.1288  0.3616  1 S 1.52
O  0.5432  0.8712  0.6384  1 S 1.52
O  0.5080  0.8755  0.9236  1 S 1.48
O  0.5952  0.3447  0.1208  1 S 1.46
O  0.8712  0.5432  0.1384  1 S 1.52
O  0.1177  0.0523  0.6146  1 S 1.50
O  0.3770  0.2615  0.6961  1 S 1.49
O  0.0983  0.7832  0.1806  1 S 1.47
O  0.3447  0.5952  0.6208  1 S 1.46
O  0.4048  0.6553  0.8792  1 S 1.46
O  0.2168  0.9017  0.3194  1 S 1.47
O  0.1245  0.4920  0.5764  1 S 1.48
Mn  0.8664  0.3685  0.9843  6 O 2.12-2.32
Mn  0.3685  0.8664  0.4843  6 O 2.12-2.32
Mn  0.1336  0.6315  0.0157  6 O 2.12-2.32
Mn  0.6315  0.1336  0.5157  6 O 2.12-2.32
S  0.9370  0.0630  0.7500  4 O 1.47-1.50
S  0.2457  0.4547  0.6825  4 O 1.46-1.52
S  0.5453  0.7543  0.8175  4 O 1.46-1.52
S  0.4547  0.2457  0.1825  4 O 1.46-1.52
S  0.7543  0.5453  0.3175  4 O 1.46-1.52
S  0.0630  0.9370  0.2500  4 O 1.47-1.50
Li  0.8759  0.6740  0.5456  4 O 2.01-2.15
Li  0.3260  0.1241  0.9544  4 O 2.01-2.15
Li  0.6740  0.8759  0.0456  4 O 2.01-2.15
Li  0.1241  0.3260  0.4544  4 O 2.01-2.15

## Properties
The crystal system is monoclinic. Its calculated density is 2.9 g cm⁻³. Its magnetic moment is 20.0 μB per cell. Its space group is C2/c, No. 15.

=====

Q: What are the energies relative to the best structure? A: arrangement a 0; arrangement b 9, in meV per atom.